Material: Al2Ni
Method: DFT, PBE
State: optimized geometry

Energy of formation from the pure elements = -40.0 kJ/mol of atoms
Density of states at the Fermi level = 2.79 states/eV/cell
Crystal system = orthorhombic

a b c (Å): 6.4801 4.2380 3.2145
angles (deg): 90.00 90.00 90.00
Sites, in units of the cell vectors:
Al: 0.2923 0.0000 0.0000
Al: 0.7077 0.0000 0.0000
Al: 0.2077 0.5000 0.5000
Al: 0.7923 0.5000 0.5000
Ni: 0.5000 0.5000 0.0000
Ni: 0.0000 0.0000 0.5000



Material: Er8Ga2Si
Method: DFT, PBE
State: optimized geometry

Formation energy without anion corrections = -0.331 eV/atom
Density of states at the Fermi level = 10.85 states/eV/cell
Crystal system = monoclinic

a b c (Å): 4.8733 6.5348 9.5910
angles (deg): 102.35 104.72 90.00
Sites, in units of the cell vectors:
Er: 0.2136 0.3179 0.4271
Er: 0.6551 0.9807 0.3102
Er: 0.5902 0.4537 0.1804
Er: 0.0275 0.7756 0.0549
Er: 0.3449 0.0193 0.6898
Er: 0.7864 0.6821 0.5729
Er: 0.9726 0.2244 0.9451
Er: 0.4098 0.5463 0.8196
Ga: 0.1867 0.7575 0.3734
Ga: 0.8133 0.2425 0.6266
Si: 0.5000 0.0000 0.0000



Material: Ac16Ir3Pt5
Method: DFT, PBE
State: optimized geometry

Energy of formation from the pure elements = -70.0 kJ/mol of atoms
Density of states at the Fermi level = 25.62 states/eV/cell
Crystal system = monoclinic

a b c (Å): 8.7770 8.7770 14.1106
angles (deg): 90.04 90.04 59.89
Sites, in units of the cell vectors:
Ac: 0.8317 0.3231 0.4040
Ac: 0.3371 0.3371 0.3995
Ac: 0.4885 0.4885 0.1621
Ac: 0.0217 0.4937 0.1618
Ac: 0.9789 0.5158 0.6597
Ac: 0.3231 0.8317 0.4040
Ac: 0.4937 0.0217 0.1618
Ac: 0.8384 0.8384 0.4021
Ac: 0.9961 0.9961 0.1705
Ac: 0.9970 0.9970 0.6688
Ac: 0.1630 0.1630 0.9066
Ac: 0.1569 0.6757 0.9044
Ac: 0.6757 0.1569 0.9044
Ac: 0.5158 0.9789 0.6597
Ac: 0.6723 0.6723 0.9012
Ac: 0.5110 0.5110 0.6598
Pt: 0.6659 0.6659 0.5239
Pt: 0.8338 0.3347 0.7852
Pt: 0.1664 0.1664 0.2855
Pt: 0.3347 0.8338 0.7852
Pt: 0.3326 0.3326 0.0238
Ir: 0.8335 0.8335 0.7829
Ir: 0.6655 0.1670 0.2838
Ir: 0.1670 0.6655 0.2838



Material: SrCrSeBr2
Method: DFT, PBE
State: optimized geometry

Formation energy without anion corrections = -0.323 eV/atom
Density of states at the Fermi level = 5.54 states/eV/cell
Crystal system = tetragonal

a b c (Å): 5.7841 5.7841 6.0613
angles (deg): 90.00 90.00 90.00
Sites, in units of the cell vectors:
Sr: 0.0000 0.0000 0.0000
Cr: 0.5000 0.5000 0.5000
Br: 0.0000 0.5000 0.0000
Br: 0.5000 0.0000 0.0000
Se: 0.0000 0.0000 0.5000